# 1
VASP calculation (PBE) on a relaxed structure of Li2MnAu.

Summary:
Energy relative to the elements: -50 meV per atom
Space-group type: P4mm, No. 99
Calculated volume: 16.362 Å³/atom

abc: 3.299 3.299 6.013
angles: 90.00 90.00 90.00
Last column: magnetic moment on the atom in μB.
Fractional positions:
Li 0.500 0.500 0.241  -0.03
Li 0.000 0.000 0.989  -0.02
Mn 0.000 0.000 0.517  3.92
Au 0.500 0.500 0.752  0.05

---

# 2
VASP calculation (PBE) on a relaxed structure of Li2MnAu.

Summary:
Energy relative to the elements: -46 meV per atom
Space-group type: C2/m, No. 12
Calculated volume: 15.678 Å³/atom

abc: 5.380 5.380 2.810
angles: 76.65 76.65 119.73
Last column: magnetic moment on the atom in μB.
Fractional positions:
Au 0.000 0.500 0.500  0.05
Mn 0.500 0.000 0.500  3.64
Li 0.500 0.500 0.000  -0.03
Li 0.000 0.000 0.000  -0.03

---

# 3
VASP calculation (PBE) on a relaxed structure of LiMnAu2.

Summary:
Energy relative to the elements: -145 meV per atom
Space-group type: F-43m, No. 216
Calculated volume: 16.576 Å³/atom

abc: 4.543 4.543 4.543
angles: 60.00 60.00 60.00
Last column: magnetic moment on the atom in μB.
Fractional positions:
Au 0.250 0.250 0.250  0.03
Au 0.000 0.000 0.000  0.06
Li 0.500 0.500 0.500  0.00
Mn 0.750 0.750 0.750  4.10

---

# 4
VASP calculation (PBE) on a relaxed structure of LiMn2Au9.

Summary:
Energy relative to the elements: -130 meV per atom
Space-group type: P4/mmm, No. 123
Calculated volume: 17.317 Å³/atom

abc: 4.107 4.107 12.323
angles: 90.00 90.00 90.00
Last column: magnetic moment on the atom in μB.
Fractional positions:
Mn 0.000 0.000 0.330  4.15
Mn 0.000 0.000 0.670  4.15
Au 0.500 0.000 0.500  0.06
Au 0.000 0.500 0.500  0.06
Au 0.500 0.500 0.000  0.02
Au 0.500 0.000 0.835  0.04
Au 0.500 0.500 0.333  0.05
Au 0.000 0.500 0.165  0.04
Au 0.000 0.500 0.835  0.04
Au 0.500 0.000 0.165  0.04
Au 0.500 0.500 0.667  0.05
Li 0.000 0.000 0.000  0.00

---

# 5
VASP calculation (PBE) on a relaxed structure of LiMn2Au.

Summary:
Energy relative to the elements: 163 meV per atom
Relative energy among the computed polymorphs: 0.153 eV per atom
Space-group type: C2/m, No. 12
Calculated volume: 15.286 Å³/atom

abc: 4.843 5.306 2.765
angles: 77.68 84.05 115.43
Last column: magnetic moment on the atom in μB.
Fractional positions:
Mn 0.000 0.000 0.000  3.51
Mn 0.500 0.000 0.500  3.51
Li 0.500 0.500 0.000  -0.04
Au 0.000 0.500 0.500  0.07

---

# 6
VASP calculation (PBE) on a relaxed structure of Li2MnAu5.

Summary:
Energy relative to the elements: -281 meV per atom
Space-group type: I4mm, No. 107
Calculated volume: 16.801 Å³/atom

abc: 5.604 5.604 5.604
angles: 106.67 106.67 115.24
Last column: magnetic moment on the atom in μB.
Fractional positions:
Mn 0.778 0.778 0.000  4.05
Au 0.278 0.277 0.000  0.05
Au 0.278 0.778 0.000  0.05
Au 0.278 0.278 0.500  0.05
Au 0.778 0.278 0.000  0.05
Au 0.778 0.778 0.500  0.05
Li 0.278 0.778 0.500  -0.01
Li 0.778 0.278 0.500  -0.01

---

# 7
VASP calculation (PBE) on a relaxed structure of LiMn2Au.

Summary:
Energy relative to the elements: 270 meV per atom
Relative energy among the computed polymorphs: 0.260 eV per atom
Space-group type: Immm, No. 71
Calculated volume: 12.421 Å³/atom

abc: 4.982 4.982 4.982
angles: 143.64 136.89 57.64
Last column: magnetic moment on the atom in μB.
Fractional positions:
Mn 0.003 0.003 0.000  0.29
Mn 0.497 0.497 0.000  0.29
Au 0.750 0.250 0.500  0.00
Li 0.250 0.750 0.500  -0.01

---

# 8
VASP calculation (PBE) on a relaxed structure of Li2MnAu8.

Summary:
Energy relative to the elements: -249 meV per atom
Relative energy among the computed polymorphs: 0.000 eV per atom
Space-group type: C2/m, No. 12
Calculated volume: 16.995 Å³/atom

abc: 4.079 6.464 7.651
angles: 105.36 105.46 90.00
Last column: magnetic moment on the atom in μB.
Fractional positions:
Mn 0.500 0.000 0.000  4.01
Au 0.319 0.089 0.638  0.01
Au 0.141 0.193 0.283  0.02
Au 0.859 0.807 0.717  0.02
Au 0.599 0.453 0.197  0.00
Au 0.681 0.911 0.362  0.01
Au 0.401 0.547 0.803  0.00
Au 0.956 0.269 0.911  0.02
Au 0.044 0.731 0.089  0.02
Li 0.223 0.646 0.445  0.00
Li 0.777 0.354 0.555  0.00

---

# 9
VASP calculation (PBE) on a relaxed structure of LiMn2Au.

Summary:
Energy relative to the elements: 10 meV per atom
Relative energy among the computed polymorphs: 0.000 eV per atom
Space-group type: F-43m, No. 216
Calculated volume: 14.802 Å³/atom

abc: 4.375 4.375 4.375
angles: 60.00 60.00 60.00
Last column: magnetic moment on the atom in μB.
Fractional positions:
Mn 0.250 0.250 0.250  3.58
Mn 0.000 0.000 0.000  -3.65
Li 0.750 0.750 0.750  -0.01
Au 0.500 0.500 0.500  0.07

---

# 10
VASP calculation (PBE) on a relaxed structure of Li2MnAu.

Summary:
Energy relative to the elements: -14 meV per atom
Space-group type: P4/mmm, No. 123
Calculated volume: 15.873 Å³/atom

abc: 2.883 2.883 7.639
angles: 90.00 90.00 89.96
Last column: magnetic moment on the atom in μB.
Fractional positions:
Mn 0.500 0.500 0.250  3.87
Li 0.000 0.000 0.520  -0.02
Li 0.000 0.000 0.980  -0.02
Au 0.500 0.500 0.750  0.01

---

# 11
VASP calculation (PBE) on a relaxed structure of LiMn6Au12.

Summary:
Energy relative to the elements: 271 meV per atom
Space-group type: R-3, No. 148
Calculated volume: 16.270 Å³/atom

abc: 6.859 6.859 6.859
angles: 99.07 99.07 99.07
Last column: magnetic moment on the atom in μB.
Fractional positions:
Au 0.941 0.646 0.670  0.01
Au 0.646 0.670 0.941  0.01
Au 0.066 0.165 0.669  0.01
Au 0.934 0.835 0.331  0.01
Au 0.059 0.354 0.330  0.01
Au 0.669 0.066 0.165  0.01
Au 0.330 0.059 0.354  0.01
Au 0.165 0.669 0.066  0.01
Au 0.331 0.934 0.835  0.01
Au 0.835 0.331 0.934  0.01
Au 0.354 0.330 0.059  0.01
Au 0.670 0.941 0.646  0.01
Mn 0.528 0.702 0.301  0.50
Mn 0.472 0.298 0.699  0.50
Mn 0.702 0.301 0.528  0.50
Mn 0.301 0.528 0.702  0.50
Mn 0.699 0.472 0.298  0.50
Mn 0.298 0.699 0.472  0.50
Li 0.000 0.000 0.000  0.00

---

# 12
VASP calculation (PBE) on a relaxed structure of Li2MnAu.

Summary:
Energy relative to the elements: 50 meV per atom
Space-group type: R-3m, No. 166
Calculated volume: 15.800 Å³/atom

abc: 9.127 9.127 9.127
angles: 17.97 17.97 17.97
Last column: magnetic moment on the atom in μB.
Fractional positions:
Au 0.750 0.750 0.750  0.10
Li 0.003 0.003 0.003  -0.03
Li 0.497 0.497 0.497  -0.03
Mn 0.250 0.250 0.250  3.44